First-principles (GGA-PBE) data for a relaxed structure of ScTlOsN2, as listed in the Alexandria database.

abc: 4.213 4.213 5.320
angles: 90.00 90.00 90.00
Space group P4/mmm (No. 123)
Inequivalent atoms, fractional coordinates:
Sc 0.000 0.000 0.000 [1 per cell]
Tl 0.500 0.500 0.500 [1 per cell]
Os 0.500 0.500 0.000 [1 per cell]
N 0.000 0.500 0.500 [2 per cell]

Uncorrected energy in Ry/atom: -0.3804
Uncorrected formation energy in eV per formula unit: 10.7